First-principles (PBE+U) data for a relaxed structure of CrHI2O, as listed in Alexandria.

* E_tot: -3.411 eV per atom
* energy above the most stable polymorph in this dataset: 34.48 kJ per mole of atoms

a = 5.9010 Å, b = 5.9010 Å, c = 2.8941 Å
α = 90.00°, β = 90.00°, γ = 90.00°
Closest atoms and distances in Å follow each position.
Space group P4/mmm (No. 123)
Symmetry-distinct sites (fractional):
Cr 0.0000 0.0000 0.0000 [1 per cell]  2 Cr 2.89
H 0.5000 0.5000 0.5000 [1 per cell]  2 O 1.45
I 0.0000 0.5000 0.5000 [2 per cell]  2 I 2.89, 2 H 2.95
O 0.5000 0.5000 0.0000 [1 per cell]  2 H 1.45